This record from Alexandria via LeMat-Bulk describes a geometry-optimized La4CdPt structure. The functional is PBE.

Structure (POSCAR):
```
La4CdPt
1.0
4.746 -7.678 0.000
4.746 7.678 0.000
-4.336 0.000 5.831
La Cd Pt
8 2 2
Direct
0.053 0.606 0.823
0.200 0.269 0.736
0.269 0.200 0.236
0.394 0.947 0.677
0.606 0.053 0.323
0.731 0.800 0.764
0.800 0.731 0.264
0.947 0.394 0.177
0.377 0.623 0.250
0.623 0.377 0.750
0.087 0.913 0.750
0.913 0.087 0.250
```

- Energy of formation from the pure elements: -0.394 eV/atom
- ΔE to the lowest computed polymorph: 0.167 eV per atom
- Density of states at the Fermi level: 8.287 states/eV/f.u.
- DFT total energy: -4.84 eV per atom